[1]
Below is a geometry-optimized Li2SiSe structure, with properties calculated at the PBEsol level.

For the density of states at the Fermi level, the calculation gives 0.3970 states/eV/atom. For the distance to the lowest polymorph of the same formula, the calculation gives 0.67 eV per formula unit. As for the space group: P4mm, No. 99. For the total energy, the calculation gives -3.62 eV per atom.

Cell lengths 3.574, 3.574, 5.133 Å; angles 90.00, 90.00, 90.00 degrees
Element x y z (fractional)
Li1 0.000 0.000 0.000
Li2 0.500 0.500 0.266
Si1 0.500 0.500 0.750
Se1 0.000 0.000 0.516

[2]
Below is a geometry-optimized SrYAg2 structure, with properties calculated at the PBEsol level.

For the density of states at the Fermi level, the calculation gives 0.9277 states/eV/atom. For the distance to the lowest polymorph of the same formula, the calculation gives 0.66 eV per formula unit. The calculation puts the formation energy at -0.067 eV per atom. As for the space group: R3m, No. 160. For the total energy, the calculation gives -3.89 eV per atom.

Cell lengths 7.038, 7.038, 7.038 Å; angles 38.43, 38.43, 38.43 degrees
Element x y z (fractional)
Sr1 0.000 0.000 0.000
Y1 0.818 0.818 0.818
Ag1 0.223 0.223 0.223
Ag2 0.561 0.561 0.561

[3]
Below is a geometry-optimized SrCdTe2 structure, with properties calculated at the PBEsol level.

For the density of states at the Fermi level, the calculation gives 0.3641 states/eV/atom. As for the space group: P4mm, No. 99. For the total energy, the calculation gives -3.41 eV per atom.

Cell lengths 4.461, 4.461, 6.500 Å; angles 90.00, 90.00, 90.00 degrees
Element x y z (fractional)
Sr1 0.000 0.000 0.000
Cd1 0.500 0.500 0.567
Te1 0.000 0.000 0.502
Te2 0.500 0.500 0.016

[4]
Below is a geometry-optimized Sb2AuSe structure, with properties calculated at the PBEsol level.

For the density of states at the Fermi level, the calculation gives 0.3869 states/eV/atom. As for the space group: Pmmm, No. 47. For the total energy, the calculation gives -4.34 eV per atom.

Cell lengths 3.586, 4.531, 5.676 Å; angles 90.00, 90.00, 90.00 degrees
Element x y z (fractional)
Sb1 0.000 0.000 0.000
Sb2 0.500 0.500 0.500
Au1 0.000 0.000 0.500
Se1 0.500 0.500 0.000

[5]
Below is a geometry-optimized CuSbCl3 structure, with properties calculated at the PBEsol level.

For the density of states at the Fermi level, the calculation gives 0.5968 states/eV/atom. As for the space group: Pm-3m, No. 221. For the total energy, the calculation gives -3.17 eV per atom.

Cell lengths 4.647, 4.647, 4.647 Å; angles 90.00, 90.00, 90.00 degrees
Element x y z (fractional)
Cu1 0.000 0.000 0.000
Sb1 0.500 0.500 0.500
Cl1 0.000 0.000 0.500
Cl2 0.000 0.500 0.000
Cl3 0.500 0.000 0.000

[6]
Below is a geometry-optimized In2CuRu structure, with properties calculated at the PBEsol level.

For the density of states at the Fermi level, the calculation gives 0.7769 states/eV/atom. The calculation puts the formation energy at 0.246 eV per atom. As for the space group: R-3m, No. 166. For the total energy, the calculation gives -4.87 eV per atom.

Cell lengths 8.641, 8.641, 8.641 Å; angles 20.26, 20.26, 20.26 degrees
Element x y z (fractional)
In1 0.250 0.250 0.250
In2 0.750 0.750 0.750
Cu1 0.500 0.500 0.500
Ru1 0.000 0.000 0.000